Entry 1:
A relaxed structure of FeAsRu2, computed with PBE.

Cell and atoms, written as POSCAR:
```
FeAsRu2
1.0
-0.791 3.745 2.626
-4.354 -0.046 1.608
3.379 -3.183 0.028
Ru Fe As
2 1 1
Direct
0.250 0.750 0.500
0.000 0.000 0.000
0.750 0.250 0.500
0.500 0.500 0.000
```

Values from the calculation:
density of states at the Fermi level: 1.007 states/eV per atom
formation energy: 148 meV/atom

Entry 2:
A relaxed structure of FeAs2Ru, computed with PBE.

Cell and atoms, written as POSCAR:
```
FeAs2Ru
1.0
-0.975 -3.688 2.699
2.221 -1.630 -1.425
3.972 0.554 2.192
Ru As Fe
1 2 1
Direct
0.500 0.828 0.718
0.500 0.537 0.300
0.000 0.715 0.947
0.000 0.420 0.534
```

Values from the calculation:
density of states at the Fermi level: 0.715 states/eV per atom
energy above the most stable polymorph in this dataset: 0.0 meV/atom
formation energy: -63 meV/atom

Entry 3:
A relaxed structure of FeAsRu2, computed with PBE.

Cell and atoms, written as POSCAR:
```
FeAsRu2
1.0
-1.073 -0.704 2.574
0.080 -3.633 -0.960
4.792 -0.394 1.890
Ru Fe As
2 1 1
Direct
0.000 0.000 0.962
0.500 0.500 0.278
0.500 0.500 0.780
0.000 0.000 0.480
```

Values from the calculation:
density of states at the Fermi level: 1.142 states/eV per atom
formation energy: 142 meV/atom

Entry 4:
A relaxed structure of FeAsRu2, computed with PBE.

Cell and atoms, written as POSCAR:
```
FeAsRu2
1.0
2.889 0.000 0.000
0.000 2.889 0.000
0.000 0.000 6.467
Ru As Fe
2 1 1
Direct
0.000 0.000 0.990
0.500 0.500 0.264
0.000 0.000 0.515
0.500 0.500 0.730
```

Values from the calculation:
density of states at the Fermi level: 1.025 states/eV per atom
formation energy: 130 meV/atom

Entry 5:
A relaxed structure of FeAs2Ru, computed with PBE.

Cell and atoms, written as POSCAR:
```
FeAs2Ru
1.0
0.000 3.041 3.041
3.041 0.000 3.041
3.041 3.041 0.000
As Ru Fe
2 1 1
Direct
0.250 0.250 0.250
0.750 0.750 0.750
0.500 0.500 0.500
0.000 0.000 0.000
```

Values from the calculation:
density of states at the Fermi level: 0.912 states/eV per atom
energy above the most stable polymorph in this dataset: 136.6 meV/atom
formation energy: 74 meV/atom

Entry 6:
A relaxed structure of FeAs2Ru, computed with PBE.

Cell and atoms, written as POSCAR:
```
FeAs2Ru
1.0
-0.998 4.144 0.745
-1.939 3.255 -2.090
-4.631 -0.236 1.611
As Ru Fe
2 1 1
Direct
0.002 0.002 0.976
0.233 0.233 0.390
0.744 0.744 0.778
0.521 0.521 0.356
```

Values from the calculation:
density of states at the Fermi level: 0.616 states/eV per atom
energy above the most stable polymorph in this dataset: 21.4 meV/atom
formation energy: -42 meV/atom

Entry 7:
A relaxed structure of FeAs2Ru, computed with PBE.

Cell and atoms, written as POSCAR:
```
FeAs2Ru
1.0
7.602 -0.017 -0.010
7.025 2.905 -0.010
7.025 1.387 2.552
As Ru Fe
2 1 1
Direct
0.997 0.997 0.997
0.503 0.503 0.503
0.750 0.750 0.750
0.250 0.250 0.250
```

Values from the calculation:
density of states at the Fermi level: 1.081 states/eV per atom
energy above the most stable polymorph in this dataset: 118.4 meV/atom
formation energy: 55 meV/atom

Entry 8:
A relaxed structure of FeAs4Ru, computed with PBE.

Cell and atoms, written as POSCAR:
```
FeAs4Ru
1.0
4.780 0.000 -0.081
0.000 6.428 0.000
0.105 0.000 6.306
Fe As Ru
2 8 2
Direct
0.500 0.500 0.000
0.000 0.000 0.000
0.000 0.642 0.135
0.000 0.358 0.865
0.000 0.869 0.649
0.000 0.131 0.351
0.500 0.858 0.135
0.500 0.631 0.649
0.500 0.369 0.351
0.500 0.142 0.865
0.000 0.500 0.500
0.500 0.000 0.500
```

Values from the calculation:
density of states at the Fermi level: 0.240 states/eV per atom
energy above the most stable polymorph in this dataset: 0.0 meV/atom
formation energy: -66 meV/atom

Repeat the fourth record exactly.
A relaxed structure of FeAsRu2, computed with PBE.

Cell and atoms, written as POSCAR:
```
FeAsRu2
1.0
2.889 0.000 0.000
0.000 2.889 0.000
0.000 0.000 6.467
Ru As Fe
2 1 1
Direct
0.000 0.000 0.990
0.500 0.500 0.264
0.000 0.000 0.515
0.500 0.500 0.730
```

Values from the calculation:
density of states at the Fermi level: 1.025 states/eV per atom
formation energy: 130 meV/atom

> The lowest formation energy belongs to which entry?

FeAs4Ru

> Which formula does entry 8 have?

FeAs4Ru